Record 1
## SrPr4Pd4 (PBE-GGA)

Data for crystalline SrPr4Pd4 at its relaxed geometry.

```
data_SrPr4Pd4
_chemical_formula_sum 'Sr2 Pr8 Pd8'
_cell_length_a 9.589
_cell_length_b 9.589
_cell_length_c 5.931
_cell_angle_alpha 90.00
_cell_angle_beta 90.00
_cell_angle_gamma 90.00
_symmetry_space_group_name_H-M 'P 42/n'
_symmetry_Int_Tables_number 86
loop_
_symmetry_equiv_pos_as_xyz
'x,y,z'
'-x,-y,-z'
'-y,x+1/2,z+1/2'
'y,-x+1/2,-z+1/2'
'-x+1/2,-y+1/2,z'
'x+1/2,y+1/2,-z'
'y+1/2,-x,z+1/2'
'-y+1/2,x,-z+1/2'
loop_
_atom_site_label
_atom_site_fract_x
_atom_site_fract_y
_atom_site_fract_z
Sr1 0.250 0.250 0.250
Pr1 0.080 0.649 0.174
Pd1 0.049 0.620 0.671
```

Results
calculated formation energy	-580.0	meV per atom

Record 2
## VSn3Hg (PBE-GGA)

Data for crystalline VSn3Hg at its relaxed geometry.

```
data_VSn3Hg
_chemical_formula_sum 'V1 Sn3 Hg1'
_cell_length_a 5.188
_cell_length_b 5.188
_cell_length_c 5.188
_cell_angle_alpha 90.00
_cell_angle_beta 90.00
_cell_angle_gamma 90.00
_symmetry_space_group_name_H-M 'P m -3 m'
_symmetry_Int_Tables_number 221
_symmetry_space_group_name_Hall '-P 4 2 3'
loop_
_atom_site_label
_atom_site_fract_x
_atom_site_fract_y
_atom_site_fract_z
V1 0.000 0.000 0.000
Sn1 0.000 0.000 0.500
Hg1 0.500 0.500 0.500
```

Results
calculated formation energy	154.5	meV per atom

Record 3
## K2Hg2H4Pt (PBE-GGA)

Data for crystalline K2Hg2H4Pt at its relaxed geometry.

```
data_K2Hg2H4Pt
_chemical_formula_sum 'K4 Hg4 H8 Pt2'
_cell_length_a 6.532
_cell_length_b 6.532
_cell_length_c 8.407
_cell_angle_alpha 90.00
_cell_angle_beta 90.00
_cell_angle_gamma 90.00
_symmetry_space_group_name_H-M 'I 4/m m m'
_symmetry_Int_Tables_number 139
_symmetry_space_group_name_Hall '-I 4 2'
loop_
_atom_site_label
_atom_site_fract_x
_atom_site_fract_y
_atom_site_fract_z
K1 0.000 0.500 0.250
Hg1 0.000 0.000 0.170
H1 0.181 0.181 0.500
Pt1 0.000 0.000 0.500
```

Results
calculated total energy	-49.34	eV for the cell shown